Entry 1:
DFT (GGA-PBE) results for crystalline Tb5Al4Ag at its relaxed geometry.

Results
DFT formation energy: -0.378 eV/atom
crystal system: tetragonal

a b c (Å): 3.5894 3.5894 18.4849
angles (deg): 90.00 90.00 90.00
Space group P4/mmm (No. 123)
One atom of each set of equivalent atoms:
Tb  0.0000  0.0000  0.0000 (multiplicity 1)
Tb  0.0000  0.0000  0.1972 (multiplicity 2)
Tb  0.0000  0.0000  0.3964 (multiplicity 2)
Al  0.5000  0.5000  0.0986 (multiplicity 2)
Al  0.5000  0.5000  0.2979 (multiplicity 2)
Ag  0.5000  0.5000  0.5000 (multiplicity 1)

Entry 2:
DFT (GGA-PBE) results for crystalline TbAl2Ag9 at its relaxed geometry.

Results
DFT formation energy: -0.085 eV/atom
crystal system: tetragonal

a b c (Å): 11.3501 11.3501 7.0844
angles (deg): 90.00 90.00 90.00
Space group I4_1/amd (No. 141, origin choice 2)
One atom of each set of equivalent atoms:
Tb  0.0000  0.2500  0.3750 (multiplicity 4)
Al  0.0000  0.0000  0.0000 (multiplicity 8)
Ag  0.0000  0.2500  0.8750 (multiplicity 4)
Ag  0.1215  0.0533  0.6787 (multiplicity 32)

Entry 3:
DFT (GGA-PBE) results for crystalline Tb2Al3Ag at its relaxed geometry.

Results
DFT formation energy: -0.449 eV/atom
energy above the most stable polymorph in this dataset: 0 meV per atom
crystal system: orthorhombic

a b c (Å): 7.2017 9.1475 15.8994
angles (deg): 90.00 90.00 90.00
Space group Fmmm (No. 69)
One atom of each set of equivalent atoms:
Tb  0.2465  0.0000  0.0000 (multiplicity 8)
Tb  0.2500  0.2500  0.2500 (multiplicity 8)
Al  0.0000  0.0000  0.3346 (multiplicity 8)
Al  0.0000  0.2502  0.0830 (multiplicity 16)
Ag  0.0000  0.0000  0.1680 (multiplicity 8)

Entry 4:
DFT (GGA-PBE) results for crystalline Tb6Al3Ag at its relaxed geometry.

Results
DFT formation energy: -0.269 eV/atom
crystal system: monoclinic

a b c (Å): 9.1251 5.1578 11.4181
angles (deg): 90.00 108.90 90.00
Space group P2_1/m (No. 11)
One atom of each set of equivalent atoms:
Tb  0.0408  0.2500  0.4154 (multiplicity 2)
Tb  0.1589  0.7500  0.1716 (multiplicity 2)
Tb  0.2444  0.2500  0.9982 (multiplicity 2)
Tb  0.3347  0.7500  0.8016 (multiplicity 2)
Tb  0.3671  0.2500  0.3451 (multiplicity 2)
Tb  0.3982  0.2500  0.6275 (multiplicity 2)
Al  0.0301  0.7500  0.8746 (multiplicity 2)
Al  0.1130  0.2500  0.7147 (multiplicity 2)
Al  0.2709  0.7500  0.4721 (multiplicity 2)
Ag  0.4556  0.7500  0.0931 (multiplicity 2)

Entry 5:
DFT (GGA-PBE) results for crystalline Tb3Al6Ag20 at its relaxed geometry.

Results
DFT formation energy: -0.070 eV/atom
crystal system: cubic

a b c (Å): 13.0862 13.0862 13.0862
angles (deg): 90.00 90.00 90.00
Space group Fm-3m (No. 225)
One atom of each set of equivalent atoms:
Tb  0.0000  0.0000  0.0000 (multiplicity 4)
Tb  0.2500  0.2500  0.2500 (multiplicity 8)
Al  0.0000  0.0000  0.2633 (multiplicity 24)
Ag  0.0000  0.1748  0.1748 (multiplicity 48)
Ag  0.1164  0.1164  0.3836 (multiplicity 32)

Entry 6:
DFT (GGA-PBE) results for crystalline Tb2AlAg2 at its relaxed geometry.

Results
DFT formation energy: -0.305 eV/atom
energy above the most stable polymorph in this dataset: 0 meV per atom
crystal system: monoclinic

a b c (Å): 10.8319 4.4517 10.9697
angles (deg): 90.00 117.02 90.00
Space group C2/m (No. 12)
One atom of each set of equivalent atoms:
Tb  0.0085  0.0000  0.3370 (multiplicity 4)
Tb  0.1928  0.0000  0.1102 (multiplicity 4)
Al  0.2214  0.5000  0.3464 (multiplicity 4)
Ag  0.0206  0.5000  0.8819 (multiplicity 4)
Ag  0.1471  0.5000  0.5634 (multiplicity 4)

Q: Among the records above, which one has the lowest DFT formation energy?
A: Tb2Al3Ag

Q: The lowest DFT formation energy belongs to which entry?
A: Tb2Al3Ag

Q: Which of these has the highest DFT formation energy?
A: Tb3Al6Ag20

Q: What is the DFT formation energy in the first record?
A: -0.378 eV/atom